1.
## KPm2Bi (PBE)

Data for crystalline KPm2Bi at its relaxed geometry.

It has space group R-3m (No. 166, hexagonal axes), with a = 4.2373 Å, b = 4.2373 Å, c = 35.8534 Å, α = 90.00°, β = 90.00° and γ = 120.00°. Symmetry generates all atoms from K at (0.0000, 0.0000, 0.0000), Pm at (0.0000, 0.0000, 0.1121) and Bi at (0.0000, 0.0000, 0.5000).

The formation energy comes out at -70 meV per atom. The crystal system is trigonal. The value obtained for the energy is -3.6896 eV per atom.


2.
## Ba2SiBr (PBE)

Data for crystalline Ba2SiBr at its relaxed geometry.

It has space group F-43m (No. 216), with a = 8.105 Å, b = 8.105 Å, c = 8.105 Å, α = 90.00°, β = 90.00° and γ = 90.00°. Symmetry generates all atoms from Ba at (0.000, 0.000, 0.000), Ba at (0.250, 0.250, 0.250), Si at (0.250, 0.250, 0.750) and Br at (0.000, 0.000, 0.500).

For the uncorrected formation energy, the calculation gives -209 meV per atom. The crystal system is cubic. The value obtained for the energy is -2.9446 eV per atom.


Among the records above, which one has the highest energy?
Ba2SiBr


Please write out number 1 again, unchanged.
## KPm2Bi (PBE)

Data for crystalline KPm2Bi at its relaxed geometry.

It has space group R-3m (No. 166, hexagonal axes), with a = 4.2373 Å, b = 4.2373 Å, c = 35.8534 Å, α = 90.00°, β = 90.00° and γ = 120.00°. Symmetry generates all atoms from K at (0.0000, 0.0000, 0.0000), Pm at (0.0000, 0.0000, 0.1121) and Bi at (0.0000, 0.0000, 0.5000).

The formation energy comes out at -70 meV per atom. The crystal system is trigonal. The value obtained for the energy is -3.6896 eV per atom.


The highest energy belongs to which entry?
Ba2SiBr


The lowest energy belongs to which entry?
KPm2Bi